This record from Alexandria via LeMat-Bulk describes a relaxed structure of Na2Sn4Ir. The functional is PBE-GGA.

Output
The calculation puts the density of states at the Fermi level at 0.47 states/eV/atom. The crystal system is tetragonal. As for the space group: I4/mmm (139). The calculation puts the formation energy from the elements at 116 meV per atom. The total magnetization is 0.00 μB/cell. The calculation puts the electronic total energy at -3.814 eV per atom.

Lattice parameters (Å, degrees): 5.175 5.175 15.714 90.00 90.00 90.00
Sites, in units of the cell vectors:
Na 0.000 0.000 0.136
Na 0.000 0.000 0.864
Na 0.500 0.500 0.364
Na 0.500 0.500 0.636
Sn 0.000 0.000 0.326
Sn 0.000 0.000 0.674
Sn 0.000 0.500 0.000
Sn 0.000 0.500 0.500
Sn 0.500 0.000 0.000
Sn 0.500 0.000 0.500
Sn 0.500 0.500 0.174
Sn 0.500 0.500 0.826
Ir 0.000 0.000 0.500
Ir 0.500 0.500 0.000

---

This record from Alexandria via LeMat-Bulk describes a relaxed structure of NaSr2SnIr. The functional is PBE-GGA.

Output
The calculation puts the density of states at the Fermi level at 0.49 states/eV/atom. The crystal system is tetragonal. As for the space group: P4/mmm (123). The calculation puts the formation energy from the elements at -263 meV per atom. The total magnetization is 0.00 μB/cell. The calculation puts the electronic total energy at -3.772 eV per atom.

Lattice parameters (Å, degrees): 5.924 5.924 5.131 90.00 90.00 90.00
Sites, in units of the cell vectors:
Na 0.000 0.000 0.000
Sr 0.000 0.500 0.500
Sr 0.500 0.000 0.500
Sn 0.500 0.500 0.000
Ir 0.500 0.500 0.500

---

This record from Alexandria via LeMat-Bulk describes a relaxed structure of NaTbSnIr. The functional is PBE-GGA.

Output
The calculation puts the density of states at the Fermi level at 1.03 states/eV/atom. The crystal system is cubic. As for the space group: F-43m (216). The calculation puts the formation energy from the elements at -408 meV per atom. The total magnetization is 0.00 μB/cell. The calculation puts the electronic total energy at -5.111 eV per atom.

Lattice parameters (Å, degrees): 6.882 6.882 6.882 90.00 90.00 90.00
Sites, in units of the cell vectors:
Na 0.000 0.000 0.000
Na 0.000 0.500 0.500
Na 0.500 0.000 0.500
Na 0.500 0.500 0.000
Tb 0.250 0.250 0.750
Tb 0.250 0.750 0.250
Tb 0.750 0.250 0.250
Tb 0.750 0.750 0.750
Sn 0.250 0.250 0.250
Sn 0.250 0.750 0.750
Sn 0.750 0.250 0.750
Sn 0.750 0.750 0.250
Ir 0.000 0.000 0.500
Ir 0.000 0.500 0.000
Ir 0.500 0.000 0.000
Ir 0.500 0.500 0.500

---

This record from Alexandria via LeMat-Bulk describes a relaxed structure of NaTmSnIr. The functional is PBE-GGA.

Output
The calculation puts the density of states at the Fermi level at 0.92 states/eV/atom. The crystal system is cubic. As for the space group: F-43m (216). The calculation puts the formation energy from the elements at -421 meV per atom. The total magnetization is 0.00 μB/cell. The calculation puts the electronic total energy at -5.084 eV per atom.

Lattice parameters (Å, degrees): 6.820 6.820 6.820 90.00 90.00 90.00
Sites, in units of the cell vectors:
Na 0.000 0.000 0.000
Na 0.000 0.500 0.500
Na 0.500 0.000 0.500
Na 0.500 0.500 0.000
Tm 0.250 0.250 0.750
Tm 0.250 0.750 0.250
Tm 0.750 0.250 0.250
Tm 0.750 0.750 0.750
Sn 0.250 0.250 0.250
Sn 0.250 0.750 0.750
Sn 0.750 0.250 0.750
Sn 0.750 0.750 0.250
Ir 0.000 0.000 0.500
Ir 0.000 0.500 0.000
Ir 0.500 0.000 0.000
Ir 0.500 0.500 0.500

---

Please write out number 3 again, unchanged.
This record from Alexandria via LeMat-Bulk describes a relaxed structure of NaTbSnIr. The functional is PBE-GGA.

Output
The calculation puts the density of states at the Fermi level at 1.03 states/eV/atom. The crystal system is cubic. As for the space group: F-43m (216). The calculation puts the formation energy from the elements at -408 meV per atom. The total magnetization is 0.00 μB/cell. The calculation puts the electronic total energy at -5.111 eV per atom.

Lattice parameters (Å, degrees): 6.882 6.882 6.882 90.00 90.00 90.00
Sites, in units of the cell vectors:
Na 0.000 0.000 0.000
Na 0.000 0.500 0.500
Na 0.500 0.000 0.500
Na 0.500 0.500 0.000
Tb 0.250 0.250 0.750
Tb 0.250 0.750 0.250
Tb 0.750 0.250 0.250
Tb 0.750 0.750 0.750
Sn 0.250 0.250 0.250
Sn 0.250 0.750 0.750
Sn 0.750 0.250 0.750
Sn 0.750 0.750 0.250
Ir 0.000 0.000 0.500
Ir 0.000 0.500 0.000
Ir 0.500 0.000 0.000
Ir 0.500 0.500 0.500

---

What did the first record say?
This record from Alexandria via LeMat-Bulk describes a relaxed structure of Na2Sn4Ir. The functional is PBE-GGA.

Output
The calculation puts the density of states at the Fermi level at 0.47 states/eV/atom. The crystal system is tetragonal. As for the space group: I4/mmm (139). The calculation puts the formation energy from the elements at 116 meV per atom. The total magnetization is 0.00 μB/cell. The calculation puts the electronic total energy at -3.814 eV per atom.

Lattice parameters (Å, degrees): 5.175 5.175 15.714 90.00 90.00 90.00
Sites, in units of the cell vectors:
Na 0.000 0.000 0.136
Na 0.000 0.000 0.864
Na 0.500 0.500 0.364
Na 0.500 0.500 0.636
Sn 0.000 0.000 0.326
Sn 0.000 0.000 0.674
Sn 0.000 0.500 0.000
Sn 0.000 0.500 0.500
Sn 0.500 0.000 0.000
Sn 0.500 0.000 0.500
Sn 0.500 0.500 0.174
Sn 0.500 0.500 0.826
Ir 0.000 0.000 0.500
Ir 0.500 0.500 0.000